Version i
The following is a PBE calculation of a relaxed KHfCuTeSe2 crystal, from the Open Quantum Materials Database.

Properties
The magnetic moment comes out at 0.00 μB/cell.

a b c (Å): 8.3985 3.9499 10.4024
angles (deg): 90.00 112.54 90.00
Atoms (fractional coordinates):
Cu 0.0814 0.2500 0.1021
Cu 0.9186 0.7500 0.8979
Hf 0.3112 0.7500 0.3406
Hf 0.6888 0.2500 0.6594
K 0.7483 0.7500 0.2287
K 0.2517 0.2500 0.7713
Se 0.0951 0.2500 0.3423
Se 0.5521 0.2500 0.3757
Se 0.4479 0.7500 0.6243
Se 0.9049 0.7500 0.6577
Te 0.2592 0.7500 0.0541
Te 0.7408 0.2500 0.9459


Version ii
The following is a PBE calculation of a relaxed KHfCuTeSe2 crystal, from the Open Quantum Materials Database.

Properties
The magnetic moment comes out at 0.00 μB/cell.

a b c (Å): 8.5442 3.9719 10.0038
angles (deg): 90.00 112.05 90.00
Atoms (fractional coordinates):
Cu 0.5842 0.2500 0.1012
Cu 0.4158 0.7500 0.8988
Hf 0.8123 0.7500 0.3339
Hf 0.1877 0.2500 0.6661
K 0.2210 0.7500 0.1987
K 0.7790 0.2500 0.8013
Se 0.7341 0.7500 0.0544
Se 0.0395 0.2500 0.3647
Se 0.9605 0.7500 0.6353
Se 0.2659 0.2500 0.9456
Te 0.5810 0.2500 0.3612
Te 0.4190 0.7500 0.6388


Stability check: which of them is most stable? version i.


Version i
The following is a PBE calculation of a relaxed GdScAsO crystal, from the Open Quantum Materials Database.

Properties
The magnetic moment comes out at 1.81 μB/cell.

a b c (Å): 4.0235 5.6313 7.0240
angles (deg): 90.00 90.00 90.00
Atoms (fractional coordinates):
As 0.0000 0.1916 0.3084
As 0.0000 0.8084 0.8084
Gd 0.5000 0.9133 0.1024
Gd 0.5000 0.0867 0.6024
O 0.5000 0.7309 0.4036
O 0.5000 0.2691 0.9036
Sc 0.0000 0.6451 0.4396
Sc 0.0000 0.3549 0.9396


Version ii
The following is a PBE calculation of a relaxed GdScAsO crystal, from the Open Quantum Materials Database.

Properties
The magnetic moment comes out at 0.35 μB/cell.

a b c (Å): 4.1880 4.1880 8.7714
angles (deg): 90.00 90.00 90.00
Atoms (fractional coordinates):
As 0.7500 0.7500 0.3097
As 0.2500 0.2500 0.6903
Gd 0.2500 0.2500 0.1142
Gd 0.7500 0.7500 0.8858
O 0.7500 0.2500 0.0000
O 0.2500 0.7500 0.0000
Sc 0.7500 0.2500 0.5000
Sc 0.2500 0.7500 0.5000


Stability check: which of them is most stable? version i.


Version i
The following is a PBE calculation of a relaxed AcNpTl crystal, from the Open Quantum Materials Database.

Properties
The magnetic moment comes out at 5.18 μB/cell.

a b c (Å): 5.4564 5.4564 5.4564
angles (deg): 60.00 60.00 60.00
Atoms (fractional coordinates):
Ac 0.2500 0.2500 0.2500
Np 0.7500 0.7500 0.7500
Tl 0.0000 0.0000 0.0000


Version ii
The following is a PBE calculation of a relaxed AcNpTl crystal, from the Open Quantum Materials Database.

Properties
The magnetic moment comes out at 5.00 μB/cell.

a b c (Å): 5.3861 5.3861 5.3861
angles (deg): 60.00 60.00 60.00
Atoms (fractional coordinates):
Ac 0.0000 0.0000 0.0000
Np 0.2500 0.2500 0.2500
Tl 0.7500 0.7500 0.7500


Stability check: which of them is most stable? version i.